Record 1
Al2CoCl8 PBE-GGA relaxed; total magnetization = 5.998 μB/cell; total DFT energy (no corrections) = -3.90 eV per atom
1.0
8.458 -3.868 0.000
8.458 3.868 0.000
-7.523 0.000 8.775
Al Co Cl
4 2 16
Direct
0.162 0.666 0.968
0.334 0.838 0.532
0.666 0.162 0.468
0.838 0.334 0.032
0.001 0.999 0.750
0.999 0.001 0.250
0.139 0.169 0.020
0.148 0.682 0.780
0.156 0.704 0.311
0.169 0.139 0.520
0.296 0.844 0.189
0.318 0.852 0.720
0.321 0.361 0.947
0.361 0.321 0.447
0.639 0.679 0.553
0.679 0.639 0.053
0.682 0.148 0.280
0.704 0.156 0.811
0.831 0.861 0.480
0.844 0.296 0.689
0.852 0.318 0.220
0.861 0.831 0.980

Record 2
AlCoSe2Cl2 PBE-GGA relaxed; total magnetization = 2.001 μB/cell; total DFT energy (no corrections) = -4.22 eV per atom
1.0
7.428 -1.872 0.000
7.428 1.872 0.000
-2.539 0.000 6.553
Al Co Se Cl
1 1 2 2
Direct
0.000 0.000 0.000
0.357 0.357 0.104
0.530 0.530 0.235
0.823 0.823 0.888
0.065 0.065 0.778
0.288 0.288 0.320

Record 3
Cs2AlFeCl6 PBE-GGA relaxed; total magnetization = 3.304 μB/cell; total DFT energy (no corrections) = -3.81 eV per atom
1.0
0.000 5.022 5.022
5.022 0.000 5.022
5.022 5.022 0.000
Cs Al Fe Cl
2 1 1 6
Direct
0.250 0.250 0.250
0.750 0.750 0.750
0.000 0.000 0.000
0.500 0.500 0.500
0.240 0.240 0.760
0.240 0.760 0.240
0.240 0.760 0.760
0.760 0.240 0.240
0.760 0.240 0.760
0.760 0.760 0.240

Record 4
AlCuCl6 PBE-GGA relaxed; total DFT energy (no corrections) = -2.40 eV per atom
1.0
0.000 4.525 4.525
4.525 0.000 4.525
4.525 4.525 0.000
Al Cu Cl
1 1 6
Direct
0.000 0.000 0.000
0.750 0.750 0.750
0.001 0.001 0.499
0.001 0.499 0.001
0.001 0.499 0.499
0.499 0.001 0.001
0.499 0.001 0.499
0.499 0.499 0.001

Record 5
AlCuI2Cl2 PBE-GGA relaxed; relative energy among the computed polymorphs = 0 meV per atom; total DFT energy (no corrections) = -3.20 eV per atom
1.0
4.295 -5.281 0.000
4.295 5.281 0.000
-4.085 0.000 4.336
Al Cu I Cl
1 1 2 2
Direct
0.000 0.000 0.000
0.236 0.764 0.500
0.104 0.375 0.489
0.625 0.896 0.511
0.309 0.078 0.967
0.922 0.691 0.033

Record 6
AlCuI2Cl2 PBE-GGA relaxed; relative energy among the computed polymorphs = 3 meV per atom; total DFT energy (no corrections) = -3.20 eV per atom
1.0
6.118 0.000 0.000
-0.069 6.131 0.000
-2.714 -2.861 5.267
Al Cu I Cl
1 1 2 2
Direct
0.000 0.000 0.000
0.239 0.775 0.499
0.358 0.381 0.251
0.631 0.125 0.742
0.098 0.692 0.754
0.920 0.902 0.247

Record 7
AlTl2CuCl6 PBE-GGA relaxed; total DFT energy (no corrections) = -3.37 eV per atom
1.0
0.000 4.879 4.879
4.879 0.000 4.879
4.879 4.879 0.000
Al Tl Cu Cl
1 2 1 6
Direct
0.000 0.000 0.000
0.250 0.250 0.250
0.750 0.750 0.750
0.500 0.500 0.500
0.241 0.241 0.759
0.241 0.759 0.241
0.241 0.759 0.759
0.759 0.241 0.241
0.759 0.241 0.759
0.759 0.759 0.241

Record 8
Nd3AlClF2 PBE-GGA relaxed; total magnetization = 0.003 μB/cell; total DFT energy (no corrections) = -5.13 eV per atom
1.0
5.670 0.000 0.000
0.000 5.670 0.000
0.000 0.000 5.441
Nd Al Cl F
3 1 1 2
Direct
0.000 0.000 0.000
0.000 0.500 0.500
0.500 0.000 0.500
0.000 0.000 0.500
0.500 0.500 0.500
0.000 0.500 0.000
0.500 0.000 0.000

Record 9
Rb2AlFeCl6 PBE-GGA relaxed; total magnetization = 3.247 μB/cell; total DFT energy (no corrections) = -3.82 eV per atom
1.0
0.000 4.924 4.924
4.924 0.000 4.924
4.924 4.924 0.000
Rb Al Fe Cl
2 1 1 6
Direct
0.250 0.250 0.250
0.750 0.750 0.750
0.000 0.000 0.000
0.500 0.500 0.500
0.242 0.242 0.758
0.242 0.758 0.242
0.242 0.758 0.758
0.758 0.242 0.242
0.758 0.242 0.758
0.758 0.758 0.242

Record 10
GdAlCl6 PBE-GGA relaxed; total magnetization = 0.001 μB/cell; total DFT energy (no corrections) = -4.30 eV per atom
1.0
3.243 -5.626 0.000
3.243 5.626 0.000
-2.187 0.000 5.998
Gd Al Cl
1 1 6
Direct
0.000 0.000 0.000
0.332 0.668 0.000
0.117 0.449 0.227
0.250 0.295 0.769
0.404 0.035 0.232
0.551 0.883 0.773
0.705 0.750 0.231
0.965 0.596 0.768

Record 11
Al2HgCl PBE-GGA relaxed; total DFT energy (no corrections) = -2.41 eV per atom
1.0
3.226 0.000 0.000
-1.613 2.794 0.000
0.000 0.000 18.364
Al Hg Cl
4 2 2
Direct
0.333 0.667 0.116
0.333 0.667 0.384
0.667 0.333 0.616
0.667 0.333 0.884
0.333 0.667 0.750
0.667 0.333 0.250
0.000 0.000 0.000
0.000 0.000 0.500

Record 12
K2AlHgCl6 PBE-GGA relaxed; total DFT energy (no corrections) = -3.13 eV per atom
1.0
0.000 5.176 5.176
5.176 0.000 5.176
5.176 5.176 0.000
K Al Hg Cl
2 1 1 6
Direct
0.250 0.250 0.250
0.750 0.750 0.750
0.000 0.000 0.000
0.500 0.500 0.500
0.226 0.226 0.774
0.226 0.774 0.226
0.226 0.774 0.774
0.774 0.226 0.226
0.774 0.226 0.774
0.774 0.774 0.226